Record 1
## NbCo3B (GGA-PBE)

Data for a geometry-optimized NbCo3B structure.

Output
Offset from the most stable computed form: 0 meV/atom
ΔH_f (0 K): -0.12 eV per atom
Uncorrected energy: -7.734 eV/atom

Geometry as CIF:
```
data_NbCo3B
_chemical_formula_sum 'Nb1 Co3 B1'
_cell_length_a 3.828
_cell_length_b 3.828
_cell_length_c 3.828
_cell_angle_alpha 90.00
_cell_angle_beta 90.00
_cell_angle_gamma 90.00
_symmetry_space_group_name_H-M 'P m -3 m'
_symmetry_Int_Tables_number 221
_symmetry_space_group_name_Hall '-P 4 2 3'
loop_
_atom_site_label
_atom_site_type_symbol
_atom_site_fract_x
_atom_site_fract_y
_atom_site_fract_z
_atom_site_occupancy
Nb1 Nb 0.000 0.000 0.000 1
Co1 Co 0.000 0.500 0.500 1
B1 B 0.500 0.500 0.500 1
```


Record 2
## NaCdSn2 (GGA-PBE)

Data for a geometry-optimized NaCdSn2 structure.

Output
ΔH_f (0 K): -0.09 eV per atom
Uncorrected energy: -2.652 eV/atom

Geometry as CIF:
```
data_NaCdSn2
_chemical_formula_sum 'Na2 Cd2 Sn4'
_cell_length_a 5.033
_cell_length_b 7.209
_cell_length_c 6.603
_cell_angle_alpha 90.00
_cell_angle_beta 112.22
_cell_angle_gamma 90.00
_symmetry_space_group_name_H-M 'P 1 21/m 1'
_symmetry_Int_Tables_number 11
_symmetry_space_group_name_Hall '-P 2yb'
loop_
_atom_site_label
_atom_site_type_symbol
_atom_site_fract_x
_atom_site_fract_y
_atom_site_fract_z
_atom_site_occupancy
Na1 Na 0.079 0.250 0.157 1
Cd1 Cd 0.196 0.750 0.392 1
Sn1 Sn 0.378 0.038 0.756 1
```


Record 3
## RbInPb (GGA-PBE)

Data for a geometry-optimized RbInPb structure.

Output
ΔH_f (0 K): -0.15 eV per atom
Uncorrected energy: -2.619 eV/atom

Geometry as CIF:
```
data_RbInPb
_chemical_formula_sum 'Rb4 In4 Pb4'
_cell_length_a 5.418
_cell_length_b 8.760
_cell_length_c 9.226
_cell_angle_alpha 90.00
_cell_angle_beta 90.00
_cell_angle_gamma 90.00
_symmetry_space_group_name_H-M 'I m a 2'
_symmetry_Int_Tables_number 46
_symmetry_space_group_name_Hall 'I 2 -2a'
loop_
_atom_site_label
_atom_site_type_symbol
_atom_site_fract_x
_atom_site_fract_y
_atom_site_fract_z
_atom_site_occupancy
Rb1 Rb 0.250 0.174 0.000 1
In1 In 0.250 0.581 0.164 1
Pb1 Pb 0.250 0.602 0.827 1
```


Record 4
## Mg3VCl (GGA-PBE)

Data for a geometry-optimized Mg3VCl structure.

Output
Offset from the most stable computed form: 0 meV/atom
Uncorrected energy: -2.713 eV/atom

Geometry as CIF:
```
data_Mg3VCl
_chemical_formula_sum 'Mg3 V1 Cl1'
_cell_length_a 4.911
_cell_length_b 4.911
_cell_length_c 4.911
_cell_angle_alpha 90.00
_cell_angle_beta 90.00
_cell_angle_gamma 90.00
_symmetry_space_group_name_H-M 'P m -3 m'
_symmetry_Int_Tables_number 221
_symmetry_space_group_name_Hall '-P 4 2 3'
loop_
_atom_site_label
_atom_site_type_symbol
_atom_site_fract_x
_atom_site_fract_y
_atom_site_fract_z
_atom_site_occupancy
Mg1 Mg 0.000 0.000 0.500 1
V1 V 0.500 0.500 0.500 1
Cl1 Cl 0.000 0.000 0.000 1
```


- Number 2 is which compound?
  NaCdSn2